1.
VASP calculation (PBE) on a geometry-optimized Rb2In4Ir structure.

Cell: 10.618 10.618 10.618 Å, 151.56 151.56 40.65°
Fractional positions:
Rb 0.172 0.172 0.000
Rb 0.828 0.828 0.000
In 0.000 0.500 0.500
In 0.367 0.367 0.000
In 0.500 0.000 0.500
In 0.633 0.633 0.000
Ir 0.500 0.500 0.000

M_tot   0.00 μB per formula unit
Total energy   -3.15 eV/atom
D(E_F)   0.747 states/eV/atom
Formation energy from the elements   -0.04 eV per atom
Crystal system   tetragonal

***

2.
VASP calculation (PBE) on a geometry-optimized RbSrIn2Ir structure.

Cell: 5.328 5.328 5.778 Å, 90.00 90.00 90.00°
Fractional positions:
Rb 0.000 0.000 0.000
Sr 0.500 0.500 0.000
In 0.000 0.500 0.500
In 0.500 0.000 0.500
Ir 0.500 0.500 0.500

M_tot   0.00 μB per formula unit
Total energy   -3.57 eV/atom
D(E_F)   0.626 states/eV/atom
Formation energy from the elements   -0.17 eV per atom
Crystal system   tetragonal

***

3.
VASP calculation (PBE) on a geometry-optimized RbSr2InIr structure.

Cell: 5.949 5.949 5.376 Å, 90.00 90.00 90.00°
Fractional positions:
Rb 0.000 0.000 0.000
Sr 0.000 0.500 0.500
Sr 0.500 0.000 0.500
In 0.500 0.500 0.000
Ir 0.500 0.500 0.500

M_tot   0.00 μB per formula unit
Total energy   -3.32 eV/atom
D(E_F)   0.582 states/eV/atom
Formation energy from the elements   -0.13 eV per atom
Crystal system   tetragonal